Ca2HoErTe4 | PBE-GGA | relaxed

Results
- N(E_F) (states/eV/f.u.) = 3.63
- ΔE_f (raw) (eV per atom) = -1.430
- density (Mg/m³) = 6.3
- calculated total energy (eV/cell) = -37.15
- total moment (μB per cell) = 0.0

a = 7.5773 Å, b = 4.3793 Å, c = 7.7291 Å
α = 90.00°, β = 109.16°, γ = 90.00°
Space group P2/m (No. 10)
Unique sites:
Ca: 0.0000 0.0000 0.0000 [1 per cell]
Ca: 0.5000 0.5000 0.0000 [1 per cell]
Ho: 0.0000 0.5000 0.5000 [1 per cell]
Er: 0.5000 0.0000 0.5000 [1 per cell]
Te: 0.2486 0.0000 0.7432 [2 per cell]
Te: 0.2531 0.5000 0.2574 [2 per cell]

Zn5Hg12Pb3 | PBE-GGA | relaxed

Results
- formation enthalpy at 0 K (meV/atom) = 174
- N(E_F) (states/eV/f.u.) = 10.85
- density (Mg/m³) = 9.4
- calculated total energy (eV/cell) = -141.06
- total moment (μB per cell) = 0.0

a = 16.7802 Å, b = 16.7802 Å, c = 16.7802 Å
α = 90.00°, β = 90.00°, γ = 90.00°
Space group Ia-3d (No. 230)
Unique sites:
Zn: 0.0000 0.0000 0.0000 [16 per cell]
Zn: 0.0000 0.2500 0.3750 [24 per cell]
Hg: 0.0308 0.0706 0.6452 [96 per cell]
Pb: 0.0000 0.2500 0.1250 [24 per cell]

Tc2SeN | PBE-GGA | relaxed

Results
- N(E_F) (states/eV/f.u.) = 3.57
- ΔE_f (raw) (eV per atom) = 0.146
- density (Mg/m³) = 7.5
- offset from the most stable computed form (eV per atom) = 0.0000
- calculated total energy (eV/cell) = -127.83
- total moment (μB per cell) = 0.0

a = 5.1432 Å, b = 5.1432 Å, c = 9.6427 Å
α = 90.00°, β = 90.00°, γ = 90.00°
Space group I-42d (No. 122)
Unique sites:
Tc: 0.1675 0.2500 0.1250 [8 per cell]
Se: 0.0000 0.0000 0.5000 [4 per cell]
N: 0.0000 0.0000 0.0000 [4 per cell]